1.
A relaxed structure of Sr3Mg3Cd2, computed with PBE-GGA.

Output
The calculation puts the total magnetization at 0.000 μB/cell. As for the energy relative to the elements: -0.175 eV/atom. As for the symmetry: Pnma (62).

Cell: 9.059 17.844 6.548 Å, 90.00 90.00 90.00°
Fractional positions:
Sr  0.035  0.108  0.118
Sr  0.035  0.392  0.118
Sr  0.170  0.250  0.630
Sr  0.330  0.750  0.130
Sr  0.465  0.608  0.618
Sr  0.465  0.892  0.618
Sr  0.535  0.108  0.382
Sr  0.535  0.392  0.382
Sr  0.670  0.250  0.870
Sr  0.830  0.750  0.370
Sr  0.965  0.608  0.882
Sr  0.965  0.892  0.882
Mg  0.174  0.750  0.625
Mg  0.176  0.034  0.605
Mg  0.176  0.466  0.605
Mg  0.324  0.534  0.105
Mg  0.324  0.966  0.105
Mg  0.326  0.250  0.125
Mg  0.674  0.750  0.875
Mg  0.676  0.034  0.895
Mg  0.676  0.466  0.895
Mg  0.824  0.534  0.395
Mg  0.824  0.966  0.395
Mg  0.826  0.250  0.375
Cd  0.115  0.609  0.380
Cd  0.115  0.891  0.380
Cd  0.385  0.109  0.880
Cd  0.385  0.391  0.880
Cd  0.615  0.609  0.120
Cd  0.615  0.891  0.120
Cd  0.885  0.109  0.620
Cd  0.885  0.391  0.620

2.
A relaxed structure of AsRu3, computed with PBE-GGA.

Output
The calculation puts the total magnetization at 0.579 μB/cell. As for the energy relative to the elements: 0.271 eV/atom. The value obtained for the distance to the lowest polymorph of the same formula is 207 meV per atom. As for the symmetry: P4/mmm (123).

Cell: 4.482 4.482 2.867 Å, 90.00 90.00 90.00°
Fractional positions:
As  0.000  0.000  0.000
Ru  0.000  0.500  0.500
Ru  0.500  0.000  0.500
Ru  0.500  0.500  0.000

3.
A relaxed structure of KRb4Cd, computed with PBE-GGA.

Output
The calculation puts the total magnetization at 0.000 μB/cell. As for the energy relative to the elements: 0.011 eV/atom. The value obtained for the distance to the lowest polymorph of the same formula is 15 meV per atom. As for the symmetry: C2/c (15).

Cell: 10.924 10.924 8.120 Å, 100.47 100.47 110.05°
Fractional positions:
K  0.111  0.889  0.750
K  0.889  0.111  0.250
Rb  0.147  0.322  0.870
Rb  0.222  0.565  0.439
Rb  0.322  0.147  0.370
Rb  0.435  0.778  0.061
Rb  0.565  0.222  0.939
Rb  0.678  0.853  0.630
Rb  0.778  0.435  0.561
Rb  0.853  0.678  0.130
Cd  0.497  0.503  0.750
Cd  0.503  0.497  0.250

4.
A relaxed structure of Na10SrLi3, computed with PBE-GGA.

Output
The calculation puts the total magnetization at 0.000 μB/cell. As for the energy relative to the elements: 0.109 eV/atom. As for the symmetry: Fm-3m (225).

Cell: 11.368 11.368 11.368 Å, 60.00 60.00 60.00°
Fractional positions:
Na  0.000  0.000  0.346
Na  0.000  0.000  0.654
Na  0.000  0.346  0.000
Na  0.000  0.346  0.654
Na  0.000  0.654  0.000
Na  0.000  0.654  0.346
Na  0.151  0.616  0.616
Na  0.346  0.000  0.000
Na  0.346  0.000  0.654
Na  0.346  0.654  0.000
Na  0.384  0.384  0.384
Na  0.384  0.384  0.849
Na  0.384  0.849  0.384
Na  0.616  0.151  0.616
Na  0.616  0.616  0.151
Na  0.616  0.616  0.616
Na  0.654  0.000  0.000
Na  0.654  0.000  0.346
Na  0.654  0.346  0.000
Na  0.849  0.384  0.384
Sr  0.250  0.250  0.250
Sr  0.750  0.750  0.750
Li  0.273  0.273  0.727
Li  0.273  0.727  0.273
Li  0.273  0.727  0.727
Li  0.727  0.273  0.273
Li  0.727  0.273  0.727
Li  0.727  0.727  0.273

5.
A relaxed structure of YGe4, computed with PBE-GGA.

Output
The calculation puts the total magnetization at 0.000 μB/cell. As for the energy relative to the elements: 0.863 eV/atom. As for the symmetry: Pm-3m (221).

Cell: 5.363 5.363 5.363 Å, 90.00 90.00 90.00°
Fractional positions:
Y  0.000  0.000  0.000
Ge  0.000  0.000  0.500
Ge  0.000  0.500  0.000
Ge  0.500  0.000  0.000
Ge  0.500  0.500  0.500

6.
A relaxed structure of Sm8Ge3AsI4, computed with PBE-GGA.

Output
The calculation puts the total magnetization at 0.000 μB/cell. Its formation energy (no corrections) is -1079 meV/atom. As for the symmetry: R-3m (166).

Cell: 9.075 9.075 9.075 Å, 56.58 56.58 56.58°
Fractional positions:
Sm  0.230  0.733  0.733
Sm  0.232  0.232  0.232
Sm  0.267  0.267  0.770
Sm  0.267  0.770  0.267
Sm  0.733  0.230  0.733
Sm  0.733  0.733  0.230
Sm  0.768  0.768  0.768
Sm  0.770  0.267  0.267
Ge  0.000  0.000  0.500
Ge  0.000  0.500  0.000
Ge  0.500  0.000  0.000
As  0.500  0.500  0.500
I  0.000  0.000  0.000
I  0.000  0.500  0.500
I  0.500  0.000  0.500
I  0.500  0.500  0.000

7.
A relaxed structure of Tm2HgBi, computed with PBE-GGA.

Output
The calculation puts the total magnetization at 0.700 μB/cell. As for the energy relative to the elements: -0.488 eV/atom. The value obtained for the distance to the lowest polymorph of the same formula is 0 meV per atom. As for the symmetry: P4/mmm (123).

Cell: 3.938 3.938 6.860 Å, 90.00 90.00 90.00°
Fractional positions:
Tm  0.000  0.000  0.248
Tm  0.000  0.000  0.752
Hg  0.500  0.500  0.000
Bi  0.500  0.500  0.500

8.
A relaxed structure of RbZrB, computed with PBE-GGA.

Output
The calculation puts the total magnetization at 0.000 μB/cell. As for the energy relative to the elements: 0.199 eV/atom. The value obtained for the distance to the lowest polymorph of the same formula is 201 meV per atom. As for the symmetry: P1 (1).

Cell: 3.930 3.930 13.587 Å, 88.24 89.10 60.02°
Fractional positions:
Rb  0.000  0.000  0.000
Rb  0.334  0.405  0.345
Zr  0.001  0.047  0.578
Zr  0.334  0.364  0.732
B  0.668  0.705  0.659
B  0.668  0.718  0.531

Result set for total DFT energy (no corrections): -13.063, -31.392, -5.815, -19.087, -20.620, -79.719, -15.076, -15.595 eV per formula unit, one per record in the order listed.
Result set for volume: 1058.5, 57.6, 863.4, 1038.7, 154.3, 486.8, 106.4, 181.7 Å³/cell, one per record in the order listed.